# SiMo | the Alexandria database | GGA-PBE | optimized geometry
data_SiMo
_chemical_formula_sum 'Si4 Mo4'
_cell_length_a 4.169
_cell_length_b 4.737
_cell_length_c 5.761
_cell_angle_alpha 90.00
_cell_angle_beta 90.00
_cell_angle_gamma 90.00
_symmetry_space_group_name_H-M 'P 1'
_symmetry_Int_Tables_number 1
loop_
_symmetry_equiv_pos_as_xyz
'x,y,z'
loop_
_atom_site_label
_atom_site_fract_x
_atom_site_fract_y
_atom_site_fract_z
Si1 0.250 0.659 0.951
Si2 0.750 0.341 0.049
Si3 0.750 0.159 0.549
Si4 0.250 0.841 0.451
Mo1 0.250 0.350 0.321
Mo2 0.250 0.150 0.821
Mo3 0.750 0.850 0.179
Mo4 0.750 0.650 0.679
# **Space-group type**: Pnma, No. 62
# **N(E_F)**: 0.06 states/eV per atom
# **E_tot**: -67.9 eV per cell
# **E_form (uncorrected)**: -0.36 eV/atom
# **M_tot**: 0.00 μB per formula unit